1.
CoOs2W after structural relaxation, computed with PBE.

Values from the calculation:
**Total energy**: -0.78100 Ry/atom
**Energy above the most stable polymorph in this dataset**: 0.0 meV per atom

abc: 3.825 3.825 3.781
angles: 90.00 90.00 90.00
Space group P4/mmm (No. 123)
One atom of each set of equivalent atoms:
1 Co 0.000 0.000 0.000
2 Os 0.000 0.500 0.500
3 W 0.500 0.500 0.000

***

2.
CoOsW2 after structural relaxation, computed with PBE.

Values from the calculation:
**Total energy**: -0.79692 Ry/atom
**Energy above the most stable polymorph in this dataset**: 177.3 meV per atom

abc: 8.999 2.758 4.733
angles: 90.00 99.91 90.00
Space group C2/m (No. 12)
One atom of each set of equivalent atoms:
1 Co 0.000 0.000 0.000
2 Os 0.000 0.500 0.500
3 W 0.246 0.500 0.242